1.
SiHSCl2: optimized geometry, GGA-PBE.

Results
- E above lowest polymorph: 0.241 eV/atom
- Total magnetization: 0.935 μB per cell

Unit cell a=5.1210 b=5.1210 c=3.2567 alpha=90.00 beta=90.00 gamma=90.00
Last column: nearest neighbours and their distance in Å.
Element x y z (fractional)
Si 0.0000 0.0000 0.0000  8 Cl 3.03, 2 Si 3.26
H 0.5000 0.5000 0.5000  2 S 1.63
S 0.5000 0.5000 0.0000  2 H 1.63
Cl 0.0000 0.5000 0.5000  2 H 2.56
Cl 0.5000 0.0000 0.5000  2 H 2.56

***

2.
SiHSCl2: optimized geometry, GGA-PBE.

Results
- E above lowest polymorph: 0.193 eV/atom
- Total magnetization: 0.000 μB per cell

Unit cell a=5.3884 b=5.3884 c=3.1751 alpha=90.00 beta=90.00 gamma=90.00
Last column: nearest neighbours and their distance in Å.
Element x y z (fractional)
Si 0.0000 0.0000 0.0000  8 Cl 3.13, 2 Si 3.18
H 0.5000 0.5000 0.0000  2 S 1.59
S 0.5000 0.5000 0.5000  2 H 1.59
Cl 0.0000 0.5000 0.5000  2 S 2.69
Cl 0.5000 0.0000 0.5000  2 S 2.69

***

What did the second record say?
SiHSCl2: optimized geometry, GGA-PBE.

Results
- E above lowest polymorph: 0.193 eV/atom
- Total magnetization: 0.000 μB per cell

Unit cell a=5.3884 b=5.3884 c=3.1751 alpha=90.00 beta=90.00 gamma=90.00
Last column: nearest neighbours and their distance in Å.
Element x y z (fractional)
Si 0.0000 0.0000 0.0000  8 Cl 3.13, 2 Si 3.18
H 0.5000 0.5000 0.0000  2 S 1.59
S 0.5000 0.5000 0.5000  2 H 1.59
Cl 0.0000 0.5000 0.5000  2 S 2.69
Cl 0.5000 0.0000 0.5000  2 S 2.69

***

Question: The lowest E above lowest polymorph belongs to which entry?
Answer: number 2